Record 1
The following is a PBE calculation of a relaxed structure of HoSbIr, from OQMD via LeMat-Bulk.

The structure in CIF format:
```
data_HoSbIr
_space_group_name_H-M_alt 'P -6 2 m'
_space_group_IT_number 189
_space_group_name_Hall 'P -6 -2'
_cell_length_a 7.4226
_cell_length_b 7.4226
_cell_length_c 3.9763
_cell_angle_alpha 90.00
_cell_angle_beta 90.00
_cell_angle_gamma 120.00
loop_
_atom_site_label
_atom_site_type_symbol
_atom_site_fract_x
_atom_site_fract_y
_atom_site_fract_z
Ho1 Ho 0.0000 0.5998 0.0000
Sb1 Sb 0.0000 0.2652 0.5000
Ir1 Ir 0.0000 0.0000 0.0000
Ir2 Ir 0.3333 0.6667 0.5000
```

=====

Record 2
The following is a PBE calculation of a relaxed structure of PrGa3, from OQMD via LeMat-Bulk.

The structure in CIF format:
```
data_PrGa3
_space_group_name_H-M_alt 'P 63/m m c'
_space_group_IT_number 194
_space_group_name_Hall '-P 6c 2c'
_cell_length_a 6.5389
_cell_length_b 6.5389
_cell_length_c 4.5449
_cell_angle_alpha 90.00
_cell_angle_beta 90.00
_cell_angle_gamma 120.00
loop_
_atom_site_label
_atom_site_type_symbol
_atom_site_fract_x
_atom_site_fract_y
_atom_site_fract_z
Pr1 Pr 0.3333 0.6667 0.2500
Ga1 Ga 0.1420 0.2840 0.7500
```

=====

Record 3
# MgGeTeW (PBE, optimized geometry)
data_MgGeTeW
_space_group_name_H-M_alt 'F -4 3 m'
_space_group_IT_number 216
_space_group_name_Hall 'F -4 2 3'
_cell_length_a 6.797
_cell_length_b 6.797
_cell_length_c 6.797
_cell_angle_alpha 90.00
_cell_angle_beta 90.00
_cell_angle_gamma 90.00
loop_
_atom_site_label
_atom_site_type_symbol
_atom_site_fract_x
_atom_site_fract_y
_atom_site_fract_z
Mg1 Mg 0.000 0.000 0.000
Ge1 Ge 0.250 0.250 0.250
Te1 Te 0.000 0.000 0.500
W1 W 0.250 0.250 0.750
# Energy above the lowest structure with this stoichiometry, meV/atom: 359

=====

Record 4
The following is a PBE calculation of a relaxed structure of LaAlSnAu2, from OQMD via LeMat-Bulk.

The structure in CIF format:
```
data_LaAlSnAu2
_space_group_name_H-M_alt 'P 4/n m m'
_space_group_IT_number 129
_cell_length_a 4.561
_cell_length_b 4.561
_cell_length_c 10.974
_cell_angle_alpha 90.00
_cell_angle_beta 90.00
_cell_angle_gamma 90.00
loop_
_space_group_symop_operation_xyz
'x,y,z'
'-x,-y,-z'
'-y+1/2,x,z'
'y+1/2,-x,-z'
'-x+1/2,-y+1/2,z'
'x+1/2,y+1/2,-z'
'y,-x+1/2,z'
'-y,x+1/2,-z'
'x+1/2,-y,-z'
'-x+1/2,y,z'
'-y,-x,-z'
'y,x,z'
'-x,y+1/2,-z'
'x,-y+1/2,z'
'y+1/2,x+1/2,-z'
'-y+1/2,-x+1/2,z'
loop_
_atom_site_label
_atom_site_type_symbol
_atom_site_fract_x
_atom_site_fract_y
_atom_site_fract_z
La1 La 0.250 0.250 0.246
Al1 Al 0.250 0.750 0.000
Sn1 Sn 0.250 0.250 0.645
Au1 Au 0.250 0.250 0.889
Au2 Au 0.250 0.750 0.500
```

=====

Record 5
# CsHgAsO (PBE, optimized geometry)
data_CsHgAsO
_space_group_name_H-M_alt 'P 4/n m m'
_space_group_IT_number 129
_cell_length_a 4.612
_cell_length_b 4.612
_cell_length_c 9.723
_cell_angle_alpha 90.00
_cell_angle_beta 90.00
_cell_angle_gamma 90.00
loop_
_space_group_symop_operation_xyz
'x,y,z'
'-x,-y,-z'
'-y+1/2,x,z'
'y+1/2,-x,-z'
'-x+1/2,-y+1/2,z'
'x+1/2,y+1/2,-z'
'y,-x+1/2,z'
'-y,x+1/2,-z'
'x+1/2,-y,-z'
'-x+1/2,y,z'
'-y,-x,-z'
'y,x,z'
'-x,y+1/2,-z'
'x,-y+1/2,z'
'y+1/2,x+1/2,-z'
'-y+1/2,-x+1/2,z'
loop_
_atom_site_label
_atom_site_type_symbol
_atom_site_fract_x
_atom_site_fract_y
_atom_site_fract_z
Cs1 Cs 0.250 0.750 0.000
Hg1 Hg 0.250 0.250 0.277
As1 As 0.250 0.250 0.554
O1 O 0.250 0.750 0.500
# Energy above the lowest structure with this stoichiometry, meV/atom: 265

=====

Record 6
# BaNpNi (PBE, optimized geometry)
data_BaNpNi
_space_group_name_H-M_alt 'F -4 3 m'
_space_group_IT_number 216
_space_group_name_Hall 'F -4 2 3'
_cell_length_a 6.849
_cell_length_b 6.849
_cell_length_c 6.849
_cell_angle_alpha 90.00
_cell_angle_beta 90.00
_cell_angle_gamma 90.00
loop_
_atom_site_label
_atom_site_type_symbol
_atom_site_fract_x
_atom_site_fract_y
_atom_site_fract_z
Ba1 Ba 0.000 0.000 0.000
Np1 Np 0.250 0.250 0.250
Ni1 Ni 0.000 0.000 0.500
# Energy above the lowest structure with this stoichiometry, meV/atom: 115

=====

Record 7
The following is a PBE calculation of a relaxed structure of SrLi2Nb2O7, from OQMD via LeMat-Bulk.

The structure in CIF format:
```
data_SrLi2Nb2O7
_space_group_name_H-M_alt 'C m c m'
_space_group_IT_number 63
_space_group_name_Hall '-C 2c 2'
_cell_length_a 17.840
_cell_length_b 5.635
_cell_length_c 5.620
_cell_angle_alpha 90.00
_cell_angle_beta 90.00
_cell_angle_gamma 90.00
loop_
_atom_site_label
_atom_site_type_symbol
_atom_site_fract_x
_atom_site_fract_y
_atom_site_fract_z
Sr1 Sr 0.000 0.244 0.250
Li1 Li 0.239 0.000 0.000
Nb1 Nb 0.117 0.254 0.750
O1 O 0.000 0.202 0.750
O2 O 0.096 0.500 0.000
O3 O 0.118 0.000 0.000
O4 O 0.223 0.278 0.750
```

=====

Record 8
# NdTaFe (PBE, optimized geometry)
data_NdTaFe
_space_group_name_H-M_alt 'F -4 3 m'
_space_group_IT_number 216
_space_group_name_Hall 'F -4 2 3'
_cell_length_a 6.466
_cell_length_b 6.466
_cell_length_c 6.466
_cell_angle_alpha 90.00
_cell_angle_beta 90.00
_cell_angle_gamma 90.00
loop_
_atom_site_label
_atom_site_type_symbol
_atom_site_fract_x
_atom_site_fract_y
_atom_site_fract_z
Nd1 Nd 0.000 0.000 0.000
Ta1 Ta 0.250 0.250 0.250
Fe1 Fe 0.250 0.250 0.750
# Energy relative to the elements, meV/atom: 1691
# Energy above the lowest structure with this stoichiometry, meV/atom: 1078

=====

Short version: E_tot = -60.54, -32.38, -76.34, -45.53, -21.14, -64.33, -366.47, -79.40 eV for the cell shown, in the order given.